Model one:
LiErTlSn GGA-PBE optimized geometry; magnetization = 0.0 μB/f.u.; SG = Pmmm; crystal system = orthorhombic
1.0
4.351 0.000 0.000
0.000 4.555 0.000
0.000 0.000 4.777
Li Er Tl Sn
1 1 1 1
Direct
0.000 0.000 0.000 Li
0.000 0.500 0.500 Er
0.500 0.500 0.000 Tl
0.500 0.000 0.500 Sn

=====

Model two:
LiErTlSn GGA-PBE optimized geometry; magnetization = 0.0 μB/f.u.; SG = F-43m; crystal system = cubic
1.0
7.308 0.000 0.000
0.000 7.308 0.000
0.000 0.000 7.308
Li Er Tl Sn
4 4 4 4
Direct
0.000 0.000 0.000 Li
0.000 0.500 0.500 Li
0.500 0.000 0.500 Li
0.500 0.500 0.000 Li
0.000 0.000 0.500 Er
0.000 0.500 0.000 Er
0.500 0.000 0.000 Er
0.500 0.500 0.500 Er
0.250 0.250 0.750 Tl
0.250 0.750 0.250 Tl
0.750 0.250 0.250 Tl
0.750 0.750 0.750 Tl
0.250 0.250 0.250 Sn
0.250 0.750 0.750 Sn
0.750 0.250 0.750 Sn
0.750 0.750 0.250 Sn

=====

Stability, descending: model one, model two

=====

Model one:
SrLi2Er GGA-PBE optimized geometry; magnetization = 0.0 μB/f.u.; SG = Fm-3m; crystal system = cubic
1.0
7.858 0.000 0.000
0.000 7.858 0.000
0.000 0.000 7.858
Sr Li Er
4 8 4
Direct
0.000 0.000 0.000 Sr
0.000 0.500 0.500 Sr
0.500 0.000 0.500 Sr
0.500 0.500 0.000 Sr
0.250 0.250 0.250 Li
0.250 0.250 0.750 Li
0.250 0.750 0.250 Li
0.250 0.750 0.750 Li
0.750 0.250 0.250 Li
0.750 0.250 0.750 Li
0.750 0.750 0.250 Li
0.750 0.750 0.750 Li
0.000 0.000 0.500 Er
0.000 0.500 0.000 Er
0.500 0.000 0.000 Er
0.500 0.500 0.500 Er

=====

Model two:
SrLi2Er GGA-PBE optimized geometry; magnetization = 0.0 μB/f.u.; SG = P4/mmm; crystal system = tetragonal
1.0
3.880 0.000 0.000
0.000 3.880 0.000
0.000 0.000 8.052
Sr Li Er
1 2 1
Direct
0.000 0.000 0.000 Sr
0.500 0.500 0.283 Li
0.500 0.500 0.717 Li
0.000 0.000 0.500 Er

=====

Stability, descending: model two, model one

=====

Model one:
Sr2LiEr GGA-PBE optimized geometry; magnetization = 0.0 μB/f.u.; SG = P4/mmm; crystal system = tetragonal
1.0
4.253 0.000 0.000
0.000 4.253 0.000
0.000 0.000 8.552
Sr Li Er
2 1 1
Direct
0.000 0.000 0.240 Sr
0.000 0.000 0.760 Sr
0.500 0.500 0.000 Li
0.500 0.500 0.500 Er

=====

Model two:
Sr2LiEr GGA-PBE optimized geometry; magnetization = 0.5 μB/f.u.; SG = R-3m; crystal system = trigonal
1.0
3.750 0.000 0.000
-1.875 3.247 0.000
0.000 0.000 38.734
Sr Li Er
6 3 3
Direct
0.000 0.000 0.090 Sr
0.000 0.000 0.910 Sr
0.333 0.667 0.576 Sr
0.333 0.667 0.757 Sr
0.667 0.333 0.243 Sr
0.667 0.333 0.424 Sr
0.000 0.000 0.500 Li
0.333 0.667 0.167 Li
0.667 0.333 0.833 Li
0.000 0.000 0.000 Er
0.333 0.667 0.667 Er
0.667 0.333 0.333 Er

=====

Stability, descending: model one, model two

=====

Model one:
LiEr3Te4 GGA-PBE optimized geometry; magnetization = 0.0 μB/f.u.; SG = I4/mmm; crystal system = tetragonal
1.0
6.088 0.000 0.000
0.000 6.088 0.000
0.000 0.000 12.163
Li Er Te
2 6 8
Direct
0.000 0.000 0.000 Li
0.500 0.500 0.500 Li
0.000 0.000 0.500 Er
0.000 0.500 0.250 Er
0.000 0.500 0.750 Er
0.500 0.000 0.250 Er
0.500 0.000 0.750 Er
0.500 0.500 0.000 Er
0.000 0.000 0.244 Te
0.000 0.000 0.756 Te
0.000 0.500 0.000 Te
0.000 0.500 0.500 Te
0.500 0.000 0.000 Te
0.500 0.000 0.500 Te
0.500 0.500 0.256 Te
0.500 0.500 0.744 Te

=====

Model two:
LiEr3Te4 GGA-PBE optimized geometry; magnetization = 0.2 μB/f.u.; SG = Pmn2_1; crystal system = orthorhombic
1.0
9.726 0.000 0.000
0.000 8.834 0.000
0.000 0.000 6.074
Li Er Te
2 6 8
Direct
0.000 0.094 0.000 Li
0.500 0.906 0.500 Li
0.000 0.730 0.502 Er
0.201 0.340 0.502 Er
0.299 0.660 0.002 Er
0.500 0.270 0.002 Er
0.701 0.660 0.002 Er
0.799 0.340 0.502 Er
0.000 0.080 0.502 Te
0.000 0.771 0.002 Te
0.198 0.336 0.002 Te
0.302 0.664 0.502 Te
0.500 0.229 0.502 Te
0.500 0.920 0.002 Te
0.698 0.664 0.502 Te
0.802 0.336 0.002 Te

=====

Stability, descending: model one, model two